5
Lattice="4.985 0.000 0.000 0.000 4.985 0.000 0.000 0.000 4.849" Properties=species:S:1:pos:R:3 comment="Ti2CdSnOs (PBE, optimized geometry)" dft_energy_ha_per_atom=-0.187 sg=P4/mmm pbc="T T T"
Ti 0.000 2.493 0.000
Ti 2.493 0.000 0.000
Cd 0.000 0.000 2.425
Sn 2.493 2.493 0.000
Os 2.493 2.493 2.425